(1)
VASP calculation (PBE-GGA) on an optimized crystal structure of YInFeW.

Cell lengths 4.7393, 4.7393, 4.7393 Å; angles 60.00, 60.00, 60.00 degrees
Element x y z (fractional)
Y 0.0000 0.0000 0.0000
In 0.2500 0.2500 0.2500
Fe 0.5000 0.5000 0.5000
W 0.7500 0.7500 0.7500

Calculated values
Crystal system   cubic
Symmetry   F-43m
E_tot   -0.2571 hartree per atom

***

(2)
VASP calculation (PBE-GGA) on an optimized crystal structure of YIn2Fe.

Cell lengths 4.9562, 4.9562, 4.9562 Å; angles 60.00, 60.00, 60.00 degrees
Element x y z (fractional)
Y 0.0000 0.0000 0.0000
In 0.5000 0.5000 0.5000
In 0.7500 0.7500 0.7500
Fe 0.2500 0.2500 0.2500

Calculated values
Crystal system   cubic
Symmetry   F-43m
E_tot   -0.1831 hartree per atom

***

(3)
VASP calculation (PBE-GGA) on an optimized crystal structure of YIn6Fe6.

Cell lengths 7.0251, 7.0251, 7.0251 Å; angles 135.64, 98.62, 97.77 degrees
Element x y z (fractional)
Y 0.0000 0.0000 0.0000
In 0.1783 0.5000 0.6783
In 0.3269 0.3269 0.0000
In 0.3411 0.0000 0.3411
In 0.6589 0.0000 0.6589
In 0.6731 0.6731 0.0000
In 0.8217 0.5000 0.3217
Fe 0.0000 0.0000 0.5000
Fe 0.0000 0.5000 0.0000
Fe 0.2419 0.7419 0.5000
Fe 0.5000 0.0000 0.0000
Fe 0.5000 0.5000 0.5000
Fe 0.7581 0.2581 0.5000

Calculated values
Crystal system   orthorhombic
Symmetry   Immm
E_tot   -0.2063 hartree per atom

***

(4)
VASP calculation (PBE-GGA) on an optimized crystal structure of YZrInFe.

Cell lengths 4.8096, 4.8096, 4.8096 Å; angles 60.00, 60.00, 60.00 degrees
Element x y z (fractional)
Y 0.0000 0.0000 0.0000
Zr 0.7500 0.7500 0.7500
In 0.2500 0.2500 0.2500
Fe 0.5000 0.5000 0.5000

Calculated values
Crystal system   cubic
Symmetry   F-43m
E_tot   -0.2357 hartree per atom

***

(5)
VASP calculation (PBE-GGA) on an optimized crystal structure of ZrZnInFe.

Cell lengths 4.5937, 4.5937, 4.5937 Å; angles 60.00, 60.00, 60.00 degrees
Element x y z (fractional)
Zr 0.0000 0.0000 0.0000
Zn 0.2500 0.2500 0.2500
In 0.5000 0.5000 0.5000
Fe 0.7500 0.7500 0.7500

Calculated values
Crystal system   cubic
Symmetry   F-43m
E_tot   -0.1943 hartree per atom

***

(6)
VASP calculation (PBE-GGA) on an optimized crystal structure of ZrZnInFe.

Cell lengths 4.6396, 4.6396, 4.6396 Å; angles 60.00, 60.00, 60.00 degrees
Element x y z (fractional)
Zr 0.0000 0.0000 0.0000
Zn 0.7500 0.7500 0.7500
In 0.2500 0.2500 0.2500
Fe 0.5000 0.5000 0.5000

Calculated values
Crystal system   cubic
Symmetry   F-43m
E_tot   -0.1892 hartree per atom